The following is a DFT calculation (PBE) of an optimized crystal structure of LaTlP3.

DFT formation energy (eV per atom): -0.363
Theoretical density (g cm⁻³): 5.7
Total magnetization (μB/cell): 0.0
Total energy (eV per atom): -5.067

Cell and atoms, written as CIF:
```
data_LaTlP3
_space_group_name_H-M_alt 'P 1'
_space_group_IT_number 1
_cell_length_a 4.060
_cell_length_b 4.060
_cell_length_c 17.848
_cell_angle_alpha 90.00
_cell_angle_beta 90.00
_cell_angle_gamma 120.00
loop_
_space_group_symop_operation_xyz
'x,y,z'
loop_
_atom_site_label
_atom_site_type_symbol
_atom_site_fract_x
_atom_site_fract_y
_atom_site_fract_z
La1 La 0.000 0.000 0.000
La2 La 0.000 0.000 0.500
Tl1 Tl 0.333 0.667 0.310
Tl2 Tl 0.667 0.333 0.810
P1 P 0.000 0.000 0.168
P2 P 0.000 0.000 0.668
P3 P 0.333 0.667 0.627
P4 P 0.333 0.667 0.910
P5 P 0.667 0.333 0.127
P6 P 0.667 0.333 0.410
```

---

The following is a DFT calculation (PBE) of an optimized crystal structure of LaTlP.

DFT formation energy (eV per atom): -0.547
Theoretical density (g cm⁻³): 7.0
Total magnetization (μB/cell): 0.0
Total energy (eV per atom): -4.781

Cell and atoms, written as CIF:
```
data_LaTlP
_space_group_name_H-M_alt 'P 1'
_space_group_IT_number 1
_cell_length_a 4.458
_cell_length_b 4.458
_cell_length_c 5.173
_cell_angle_alpha 90.00
_cell_angle_beta 90.00
_cell_angle_gamma 120.00
loop_
_space_group_symop_operation_xyz
'x,y,z'
loop_
_atom_site_label
_atom_site_type_symbol
_atom_site_fract_x
_atom_site_fract_y
_atom_site_fract_z
La1 La 0.000 0.000 0.000
Tl1 Tl 0.333 0.667 0.526
P1 P 0.667 0.333 0.228
```

---

The following is a DFT calculation (PBE) of an optimized crystal structure of La6Tl3P.

DFT formation energy (eV per atom): -0.496
Theoretical density (g cm⁻³): 8.0
Total magnetization (μB/cell): 0.0
Total energy (eV per atom): -4.703

Cell and atoms, written as CIF:
```
data_La6Tl3P
_space_group_name_H-M_alt 'P 1'
_space_group_IT_number 1
_cell_length_a 9.554
_cell_length_b 5.445
_cell_length_c 12.298
_cell_angle_alpha 90.00
_cell_angle_beta 107.30
_cell_angle_gamma 90.00
loop_
_space_group_symop_operation_xyz
'x,y,z'
loop_
_atom_site_label
_atom_site_type_symbol
_atom_site_fract_x
_atom_site_fract_y
_atom_site_fract_z
La1 La 0.016 0.250 0.406
La2 La 0.189 0.750 0.166
La3 La 0.269 0.250 0.995
La4 La 0.372 0.250 0.362
La5 La 0.380 0.750 0.847
La6 La 0.407 0.250 0.634
La7 La 0.593 0.750 0.366
La8 La 0.620 0.250 0.153
La9 La 0.628 0.750 0.638
La10 La 0.731 0.750 0.005
La11 La 0.811 0.250 0.834
La12 La 0.984 0.750 0.594
Tl1 Tl 0.023 0.750 0.882
Tl2 Tl 0.108 0.250 0.724
Tl3 Tl 0.263 0.750 0.470
Tl4 Tl 0.737 0.250 0.530
Tl5 Tl 0.892 0.750 0.276
Tl6 Tl 0.977 0.250 0.118
P1 P 0.466 0.750 0.103
P2 P 0.534 0.250 0.897
```